The following is a PBE-GGA calculation of Pm8NiC3Cl4 after structural relaxation, from Alexandria.

VASP energy: -5.881 eV per atom
Calculated volume: 358 Å³/f.u.
ΔE_f (raw): -0.95 eV/atom

Structure (POSCAR):
```
Pm8NiC3Cl4
1.0
-2.392 -5.628 -4.635
7.478 -0.216 -3.597
-0.301 -0.911 7.613
Pm C Ni Cl
8 3 1 4
Cartesian
1.559 -1.697 -2.075
3.289 -4.682 -2.364
0.278 -4.807 -0.659
3.226 -5.058 1.456
0.421 -4.373 -4.279
4.363 -2.381 3.660
4.507 -1.948 0.040
1.496 -2.072 1.745
2.543 -2.922 -4.116
3.589 -0.563 2.008
2.392 -3.377 -0.310
3.739 -0.108 -1.799
0.000 0.000 0.000
-1.347 -3.269 1.489
-1.196 -2.814 -2.317
-0.151 -0.455 3.807
```